Record 1
Compound: TiRh2W
Source: Alexandria via LeMat-Bulk
Functional: GGA-PBE
Structure: relaxed

Properties
* theoretical density: 11.9 g/cm3
* calculated volume: 244.6 Å³/cell
* VASP energy: -9.03 eV per atom
* total magnetization: 0.00 μB/f.u.
* energy relative to the elements: -0.14 eV/atom
* excess energy over the best structure of this formula in the dataset: 0.227 eV/atom

CIF file:
```
data_TiRh2W
_chemical_formula_sum 'Ti4 Rh8 W4'
_cell_length_a 6.254
_cell_length_b 6.254
_cell_length_c 6.254
_cell_angle_alpha 90.00
_cell_angle_beta 90.00
_cell_angle_gamma 90.00
_space_group_name_H-M_alt 'F m -3 m'
_space_group_IT_number 225
_space_group_name_Hall '-F 4 2 3'
loop_
_atom_site_label
_atom_site_type_symbol
_atom_site_fract_x
_atom_site_fract_y
_atom_site_fract_z
_atom_site_occupancy
Ti1 Ti 0.000 0.000 0.000 1
Rh1 Rh 0.250 0.250 0.250 1
W1 W 0.000 0.000 0.500 1
```

=====

Record 2
Compound: LiTl2Hg
Source: Alexandria via LeMat-Bulk
Functional: GGA-PBE
Structure: relaxed

Properties
* theoretical density: 10.1 g/cm3
* calculated volume: 305.2 Å³/cell
* VASP energy: -1.84 eV per atom
* total magnetization: 0.00 μB/f.u.
* energy relative to the elements: -0.10 eV/atom
* excess energy over the best structure of this formula in the dataset: 0.028 eV/atom

CIF file:
```
data_LiTl2Hg
_chemical_formula_sum 'Li3 Tl6 Hg3'
_cell_length_a 3.5036
_cell_length_b 3.5036
_cell_length_c 28.7092
_cell_angle_alpha 90.00
_cell_angle_beta 90.00
_cell_angle_gamma 120.00
_space_group_name_H-M_alt 'R 3 m'
_space_group_IT_number 160
_space_group_name_Hall 'R 3 -2"'
loop_
_atom_site_label
_atom_site_type_symbol
_atom_site_fract_x
_atom_site_fract_y
_atom_site_fract_z
_atom_site_occupancy
Li1 Li 0.0000 0.0000 0.0000 1
Tl1 Tl 0.0000 0.0000 0.2561 1
Tl2 Tl 0.0000 0.0000 0.4923 1
Hg1 Hg 0.0000 0.0000 0.7342 1
```

=====

Record 3
Compound: Hf3FePd
Source: Alexandria via LeMat-Bulk
Functional: GGA-PBE
Structure: relaxed

Properties
* theoretical density: 11.0 g/cm3
* calculated volume: 104.9 Å³/cell
* VASP energy: -8.53 eV per atom
* total magnetization: 0.00 μB/f.u.
* energy relative to the elements: 0.17 eV/atom
* excess energy over the best structure of this formula in the dataset: 0.497 eV/atom

CIF file:
```
data_Hf3FePd
_chemical_formula_sum 'Hf3 Fe1 Pd1'
_cell_length_a 4.716
_cell_length_b 4.716
_cell_length_c 4.716
_cell_angle_alpha 90.00
_cell_angle_beta 90.00
_cell_angle_gamma 90.00
_space_group_name_H-M_alt 'P m -3 m'
_space_group_IT_number 221
_space_group_name_Hall '-P 4 2 3'
loop_
_atom_site_label
_atom_site_type_symbol
_atom_site_fract_x
_atom_site_fract_y
_atom_site_fract_z
_atom_site_occupancy
Hf1 Hf 0.000 0.000 0.500 1
Fe1 Fe 0.000 0.000 0.000 1
Pd1 Pd 0.500 0.500 0.500 1
```

=====

Which value of calculated volume does entry 2 give?
305.2 Å³/cell